Entry 1:
First-principles (PBE-GGA) data for crystalline La2Cu5Pt at its relaxed geometry, as listed in the Alexandria database.

Cell lengths 4.196, 8.217, 9.023 Å; angles 90.00, 90.00, 104.79 degrees
Positions (direct):
La: 0.798 0.596 0.750
La: 0.202 0.404 0.250
La: 0.000 0.000 0.000
La: 0.000 0.000 0.500
Cu: 0.179 0.358 0.884
Cu: 0.821 0.642 0.116
Cu: 0.179 0.358 0.616
Cu: 0.821 0.642 0.384
Cu: 0.340 0.680 0.986
Cu: 0.660 0.320 0.014
Cu: 0.340 0.680 0.514
Cu: 0.660 0.320 0.486
Cu: 0.604 0.207 0.750
Cu: 0.396 0.793 0.250
Pt: 0.440 0.879 0.750
Pt: 0.560 0.121 0.250

Values from the calculation:
The formation energy comes out at -364 meV per atom. Its symmetry is Cmcm. Its uncorrected energy is -4.9106 eV/atom.

=====

Entry 2:
First-principles (PBE-GGA) data for crystalline Li3CaCd3 at its relaxed geometry, as listed in the Alexandria database.

Cell lengths 7.525, 7.525, 7.979 Å; angles 61.86, 61.86, 60.00 degrees
Positions (direct):
Li: 0.579 0.736 0.609
Li: 0.736 0.076 0.609
Li: 0.076 0.579 0.609
Li: 0.924 0.421 0.391
Li: 0.264 0.924 0.391
Li: 0.421 0.264 0.391
Ca: 0.347 0.347 0.958
Ca: 0.653 0.653 0.042
Cd: 0.161 0.700 0.195
Cd: 0.944 0.161 0.195
Cd: 0.700 0.944 0.195
Cd: 0.300 0.056 0.805
Cd: 0.056 0.839 0.805
Cd: 0.839 0.300 0.805

Values from the calculation:
The energy above the most stable polymorph in this dataset is 0.0000 eV per atom. The formation energy comes out at -170 meV per atom. Its symmetry is R-3. Its uncorrected energy is -1.6682 eV/atom.

=====

Entry 3:
First-principles (PBE-GGA) data for crystalline NaZr2Se2 at its relaxed geometry, as listed in the Alexandria database.

Cell lengths 4.253, 4.253, 7.439 Å; angles 73.39, 73.39, 90.00 degrees
Positions (direct):
Na: 0.000 0.000 0.000
Se: 0.380 0.380 0.240
Se: 0.620 0.620 0.760
Zr: 0.750 0.250 0.500
Zr: 0.250 0.750 0.500

Values from the calculation:
As for the formation energy without anion corrections: -81 kJ per mole of atoms. The energy above the most stable polymorph in this dataset is 0.0000 eV per atom. Its symmetry is I4/mmm. Its uncorrected energy is -5.9189 eV/atom.

=====

Entry 4:
First-principles (PBE-GGA) data for crystalline ZrMnReB2 at its relaxed geometry, as listed in the Alexandria database.

Cell lengths 4.259, 4.959, 4.259 Å; angles 90.00, 90.00, 90.00 degrees
Last column: magnetic moment on the atom in μB.
Positions (direct):
Re: 0.000 0.500 0.000  -1.13
B: 0.000 0.000 0.500  0.00
B: 0.500 0.000 0.000  0.00
Mn: 0.500 0.500 0.500  0.65
Zr: 0.000 0.000 0.000  0.02

Values from the calculation:
The formation energy comes out at 2550 meV per atom. Its symmetry is P4/mmm. Its uncorrected energy is -6.1546 eV/atom.